A plane-wave DFT calculation with PBE was carried out for a relaxed structure of LiSiBiO4.

Total magnetization ... 0.00 μB/f.u.
Calculated volume ... 13.99 Å³ per atom
Formation energy without anion corrections ... -2057 meV per atom
Total energy ... -6.493 eV per atom
Excess energy over the best structure of this formula in the dataset ... 0.070 eV/atom

CIF file:
```
data_LiSiBiO4
_cell_length_a 5.839
_cell_length_b 6.558
_cell_length_c 11.360
_cell_angle_alpha 90.00
_cell_angle_beta 115.77
_cell_angle_gamma 90.00
_space_group_name_H-M_alt 'P 1 21/c 1'
_space_group_IT_number 14
_space_group_name_Hall '-P 2ybc'
loop_
_atom_site_label
_atom_site_type_symbol
_atom_site_fract_x
_atom_site_fract_y
_atom_site_fract_z
Li1 Li 0.096 0.136 0.446
Si1 Si 0.305 0.693 0.862
Bi1 Bi 0.459 0.673 0.636
O1 O 0.148 0.686 0.954
O2 O 0.196 0.673 0.226
O3 O 0.338 0.036 0.314
O4 O 0.417 0.202 0.037
```

A plane-wave DFT calculation with PBE was carried out for a relaxed structure of LiSi3BiO8.

Total magnetization ... 0.00 μB/f.u.
Calculated volume ... 13.77 Å³ per atom
Formation energy without anion corrections ... -2391 meV per atom
Total energy ... -7.139 eV per atom
Excess energy over the best structure of this formula in the dataset ... 0.000 eV/atom

CIF file:
```
data_LiSi3BiO8
_cell_length_a 8.312
_cell_length_b 13.044
_cell_length_c 13.331
_cell_angle_alpha 90.00
_cell_angle_beta 97.75
_cell_angle_gamma 90.00
_space_group_name_H-M_alt 'C 1 2/c 1'
_space_group_IT_number 15
_space_group_name_Hall '-C 2yc'
loop_
_atom_site_label
_atom_site_type_symbol
_atom_site_fract_x
_atom_site_fract_y
_atom_site_fract_z
Li1 Li 0.209 0.172 0.186
Si1 Si 0.139 0.459 0.387
Si2 Si 0.167 0.116 0.400
Si3 Si 0.235 0.408 0.169
Bi1 Bi 0.019 0.286 0.949
O1 O 0.001 0.176 0.098
O2 O 0.051 0.425 0.103
O3 O 0.141 0.001 0.854
O4 O 0.158 0.418 0.892
O5 O 0.197 0.201 0.865
O6 O 0.200 0.325 0.661
O7 O 0.204 0.411 0.287
O8 O 0.237 0.393 0.482
```